# Li4Mn3OF11, relaxed, DFT PBE+U
data_Li4Mn3OF11
_symmetry_space_group_name_H-M 'P 1'
_symmetry_Int_Tables_number 1
_cell_length_a 5.8828
_cell_length_b 6.1065
_cell_length_c 6.2745
_cell_angle_alpha 99.63
_cell_angle_beta 101.52
_cell_angle_gamma 98.05
loop_
_symmetry_equiv_pos_as_xyz
'x,y,z'
loop_
_atom_site_label
_atom_site_type_symbol
_atom_site_fract_x
_atom_site_fract_y
_atom_site_fract_z
F1 F 0.8862 0.2765 0.1174
F2 F 0.4630 0.8159 0.5648
F3 F 0.3354 0.4953 0.1617
F4 F 0.0579 0.7152 0.8633
F5 F 0.0605 0.9365 0.3581
F6 F 0.6247 0.4281 0.7801
F7 F 0.9095 0.1082 0.7178
F8 F 0.5978 0.1473 0.3876
F9 F 0.1715 0.4100 0.5743
F10 F 0.3978 0.1170 0.9247
F11 F 0.6617 0.8030 0.0791
Li1 Li 0.3928 0.7896 0.8573
Li2 Li 0.3283 0.1373 0.5942
Li3 Li 0.9543 0.9743 0.0262
Li4 Li 0.1524 0.6191 0.3526
Mn1 Mn 0.7238 0.8672 0.4146
Mn2 Mn 0.8940 0.4186 0.6737
Mn3 Mn 0.6001 0.3658 0.1412
O1 O 0.7882 0.5752 0.4114
# Energy above the most stable polymorph in this dataset ... 0.0363 eV/atom
# Raw total energy ... -5.474 eV/atom